# 1
# YFeSnIr PBE relaxed
data_YFeSnIr
_chemical_formula_sum 'Y1 Fe1 Sn1 Ir1'
_cell_length_a 4.6350
_cell_length_b 4.6350
_cell_length_c 4.6350
_cell_angle_alpha 60.00
_cell_angle_beta 60.00
_cell_angle_gamma 60.00
_symmetry_space_group_name_H-M 'P 1'
_symmetry_Int_Tables_number 1
loop_
_symmetry_equiv_pos_as_xyz
'x,y,z'
loop_
_atom_site_label
_atom_site_type_symbol
_atom_site_fract_x
_atom_site_fract_y
_atom_site_fract_z
_atom_site_occupancy
Fe1 Fe 0.7500 0.7500 0.7500 1
Y1 Y 0.5000 0.5000 0.5000 1
Sn1 Sn 0.0000 0.0000 0.0000 1
Ir1 Ir 0.2500 0.2500 0.2500 1
# final energy = -28.62 eV for the cell shown
# M_tot = 0.397 μB per atom

---

# 2
# NiMoPd PBE relaxed
data_NiMoPd
_chemical_formula_sum 'Ni1 Mo1 Pd1'
_cell_length_a 4.6697
_cell_length_b 4.6697
_cell_length_c 4.6697
_cell_angle_alpha 146.33
_cell_angle_beta 132.14
_cell_angle_gamma 59.79
_symmetry_space_group_name_H-M 'P 1'
_symmetry_Int_Tables_number 1
loop_
_symmetry_equiv_pos_as_xyz
'x,y,z'
loop_
_atom_site_label
_atom_site_type_symbol
_atom_site_fract_x
_atom_site_fract_y
_atom_site_fract_z
_atom_site_occupancy
Ni1 Ni 0.0423 0.0423 0.0000 1
Pd1 Pd 0.3742 0.3742 0.0000 1
Mo1 Mo 0.6984 0.6984 0.0000 1
# E_form = -61 meV per atom
# M_tot = 0.001 μB per atom

---

# 3
# HoZnGaNi PBE relaxed
data_HoZnGaNi
_chemical_formula_sum 'Ho2 Zn2 Ga2 Ni2'
_cell_length_a 5.1973
_cell_length_b 5.1973
_cell_length_c 7.0020
_cell_angle_alpha 90.82
_cell_angle_beta 90.82
_cell_angle_gamma 46.27
_symmetry_space_group_name_H-M 'P 1'
_symmetry_Int_Tables_number 1
loop_
_symmetry_equiv_pos_as_xyz
'x,y,z'
loop_
_atom_site_label
_atom_site_type_symbol
_atom_site_fract_x
_atom_site_fract_y
_atom_site_fract_z
_atom_site_occupancy
Ho1 Ho 0.9327 0.9327 0.2531 1
Ho2 Ho 0.0673 0.0673 0.7469 1
Ni1 Ni 0.2178 0.2178 0.2392 1
Ni2 Ni 0.7822 0.7822 0.7608 1
Ga1 Ga 0.6437 0.6437 0.0573 1
Ga2 Ga 0.3563 0.3563 0.9427 1
Zn1 Zn 0.3506 0.3506 0.5532 1
Zn2 Zn 0.6494 0.6494 0.4468 1
# final energy = -33.16 eV for the cell shown
# M_tot = 0.000 μB per atom

---

# 4
# PmZr PBE relaxed
data_PmZr
_chemical_formula_sum 'Pm4 Zr4'
_cell_length_a 5.6138
_cell_length_b 7.7096
_cell_length_c 5.3611
_cell_angle_alpha 90.00
_cell_angle_beta 90.00
_cell_angle_gamma 90.00
_symmetry_space_group_name_H-M 'P 1'
_symmetry_Int_Tables_number 1
loop_
_symmetry_equiv_pos_as_xyz
'x,y,z'
loop_
_atom_site_label
_atom_site_type_symbol
_atom_site_fract_x
_atom_site_fract_y
_atom_site_fract_z
_atom_site_occupancy
Zr1 Zr 0.3372 0.0370 0.5000 1
Zr2 Zr 0.4961 0.2130 0.0000 1
Zr3 Zr 0.9961 0.0370 0.0000 1
Zr4 Zr 0.8372 0.2130 0.5000 1
Pm1 Pm 0.8836 0.7826 0.5000 1
Pm2 Pm 0.9497 0.4674 0.0000 1
Pm3 Pm 0.3836 0.4674 0.5000 1
Pm4 Pm 0.4497 0.7826 0.0000 1
# E_form = 81 meV per atom
# M_tot = 0.000 μB per atom

---

# 5
# Ba3Dy2Cl2O5 PBE relaxed
data_Ba3Dy2Cl2O5
_chemical_formula_sum 'Ba3 Dy2 Cl2 O5'
_cell_length_a 12.7966
_cell_length_b 12.7966
_cell_length_c 12.7966
_cell_angle_alpha 160.09
_cell_angle_beta 160.09
_cell_angle_gamma 28.31
_symmetry_space_group_name_H-M 'P 1'
_symmetry_Int_Tables_number 1
loop_
_symmetry_equiv_pos_as_xyz
'x,y,z'
loop_
_atom_site_label
_atom_site_type_symbol
_atom_site_fract_x
_atom_site_fract_y
_atom_site_fract_z
_atom_site_occupancy
O1 O 0.5000 0.5000 0.0000 1
O2 O 0.9024 0.4024 0.5000 1
O3 O 0.4024 0.9024 0.5000 1
O4 O 0.5976 0.0976 0.5000 1
O5 O 0.0976 0.5976 0.5000 1
Dy1 Dy 0.4141 0.4141 0.0000 1
Dy2 Dy 0.5859 0.5859 0.0000 1
Ba1 Ba 0.1632 0.1632 0.0000 1
Ba2 Ba 0.0000 0.0000 0.0000 1
Ba3 Ba 0.8368 0.8368 0.0000 1
Cl1 Cl 0.2936 0.2936 0.0000 1
Cl2 Cl 0.7064 0.7064 0.0000 1
# final energy = -79.38 eV for the cell shown
# M_tot = 0.001 μB per atom

---

# 6
# RbErTl PBE relaxed
data_RbErTl
_chemical_formula_sum 'Rb1 Er1 Tl1'
_cell_length_a 5.5824
_cell_length_b 5.5824
_cell_length_c 5.5824
_cell_angle_alpha 60.00
_cell_angle_beta 60.00
_cell_angle_gamma 60.00
_symmetry_space_group_name_H-M 'P 1'
_symmetry_Int_Tables_number 1
loop_
_symmetry_equiv_pos_as_xyz
'x,y,z'
loop_
_atom_site_label
_atom_site_type_symbol
_atom_site_fract_x
_atom_site_fract_y
_atom_site_fract_z
_atom_site_occupancy
Er1 Er 0.2500 0.2500 0.2500 1
Tl1 Tl 0.0000 0.0000 0.0000 1
Rb1 Rb 0.7500 0.7500 0.7500 1
# final energy = -6.51 eV for the cell shown
# M_tot = 0.006 μB per atom